Entry 1:
Rb3ZnBi SCAN PBEsol geometry; energy of formation = 0.0568 eV/atom; Fermi-level density of states = 4.533 states/eV/f.u.; crystal system = cubic
1.0
7.119 0.000 0.000
0.000 7.119 0.000
0.000 0.000 7.119
Rb Zn Bi
3 1 1
Direct
0.000 0.000 0.500
0.000 0.500 0.000
0.500 0.000 0.000
0.500 0.500 0.500
0.000 0.000 0.000



Entry 2:
RbZn2Bi2 SCAN PBEsol geometry; energy of formation = -0.2007 eV/atom; Fermi-level density of states = 1.522 states/eV/f.u.; crystal system = tetragonal
1.0
-2.097 2.097 8.453
2.097 -2.097 8.453
2.097 2.097 -8.453
Rb Zn Bi
1 2 2
Direct
0.000 0.000 0.000
0.250 0.750 0.500
0.750 0.250 0.500
0.359 0.359 0.000
0.641 0.641 0.000



Entry 3:
Rb3ZrBi SCAN PBEsol geometry; energy of formation = 1.0439 eV/atom; Fermi-level density of states = 4.998 states/eV/f.u.; crystal system = cubic
1.0
6.360 0.000 0.000
0.000 6.360 0.000
0.000 0.000 6.360
Rb Zr Bi
3 1 1
Direct
0.000 0.000 0.500
0.000 0.500 0.000
0.500 0.000 0.000
0.000 0.000 0.000
0.500 0.500 0.500



Entry 4:
RbZrBi3 SCAN PBEsol geometry; energy of formation = -0.1878 eV/atom; Fermi-level density of states = 4.295 states/eV/f.u.; crystal system = cubic
1.0
5.690 0.000 0.000
0.000 5.690 0.000
0.000 0.000 5.690
Rb Zr Bi
1 1 3
Direct
0.000 0.000 0.000
0.500 0.500 0.500
0.000 0.500 0.500
0.500 0.000 0.500
0.500 0.500 0.000